[1]
CsPmZnO3 | PBE | optimized geometry

Summary:
SG	P2_1/m
total magnetic moment	0.00	μB per cell
formation energy without anion corrections	-2153	meV/atom
Fermi-level density of states	0.00	states/eV per cell
V	249.4	Å³ per cell

Unit cell a=3.6770 b=8.3830 c=8.5002 alpha=107.82 beta=90.00 gamma=90.00
With the nearest neighbours (Å) after each atom.
Fractional coordinates of all 12 atoms:
O1 0.7500 0.8419 0.1467  1 Zn 1.92
O2 0.2500 0.1581 0.8533  1 Zn 1.92
O3 0.2500 0.8454 0.4518  3 Zn 2.01-2.09
O4 0.7500 0.4705 0.1327  3 Pm 2.29-2.38
O5 0.7500 0.1546 0.5482  3 Zn 2.01-2.09
O6 0.2500 0.5295 0.8673  3 Pm 2.29-2.38
Zn1 0.7500 0.9236 0.3843  4 O 1.92-2.09
Zn2 0.2500 0.0764 0.6157  4 O 1.92-2.09
Cs1 0.2500 0.2035 0.2225  3 O 3.04-3.17
Cs2 0.7500 0.7965 0.7775  3 O 3.04-3.17
Pm1 0.2500 0.6554 0.1474  5 O 2.29-2.41
Pm2 0.7500 0.3446 0.8526  5 O 2.29-2.41

***

[2]
MoRhI2 | PBE | optimized geometry

Summary:
SG	I-42d
total magnetic moment	0.00	μB per cell
formation energy without anion corrections	823	meV/atom
Fermi-level density of states	11.41	states/eV per cell
V	221.8	Å³ per cell

Unit cell a=6.1123 b=6.1123 c=7.3437 alpha=65.41 beta=65.41 gamma=90.00
With the nearest neighbours (Å) after each atom.
Fractional coordinates of all 8 atoms:
I1 0.3750 0.3719 0.7500  2 Rh 2.61, 2 Mo 2.63
I2 0.6281 0.1250 0.2500  2 Rh 2.61, 2 Mo 2.63
I3 0.1219 0.6250 0.2500  2 Rh 2.61, 2 Mo 2.63
I4 0.8750 0.8781 0.7500  2 Rh 2.61, 2 Mo 2.63
Rh1 0.0000 0.0000 0.0000  4 I 2.61
Rh2 0.7500 0.2500 0.5000  4 I 2.61
Mo1 0.2500 0.7500 0.5000  4 I 2.63
Mo2 0.5000 0.5000 0.0000  4 I 2.63